No. 1
# NaCaGeAu

An optimized crystal structure of NaCaGeAu (PBE-GGA, Alexandria).

Cell: 4.9102 4.9102 4.9102 Å, 60.00 60.00 60.00°
Sites, in units of the cell vectors:
Na 0.7500 0.7500 0.7500
Ge 0.0000 0.0000 0.0000
Au 0.2500 0.2500 0.2500
Ca 0.5000 0.5000 0.5000

Values from the calculation:
Its calculated volume is 20.9 A^3/atom. The calculation puts the final energy at -3.1789 eV/atom. The spin magnetization comes out at 0.00 Bohr magnetons per cell. The space group is F-43m, No. 216.

No. 2
# Ca2NdGe3Au12

An optimized crystal structure of Ca2NdGe3Au12 (PBE-GGA, Alexandria).

Cell: 7.9475 7.9475 7.9475 Å, 70.72 70.72 70.72°
Sites, in units of the cell vectors:
Ca 0.5945 0.5945 0.5945
Ca 0.4055 0.4055 0.4055
Nd 0.0000 0.0000 0.0000
Ge 0.5000 0.0000 0.0000
Ge 0.0000 0.5000 0.0000
Ge 0.0000 0.0000 0.5000
Au 0.3070 0.3070 0.8330
Au 0.8376 0.8376 0.3920
Au 0.3920 0.8376 0.8376
Au 0.8330 0.3070 0.3070
Au 0.8376 0.3920 0.8376
Au 0.3070 0.8330 0.3070
Au 0.6930 0.6930 0.1670
Au 0.1624 0.1624 0.6080
Au 0.6080 0.1624 0.1624
Au 0.1670 0.6930 0.6930
Au 0.1624 0.6080 0.1624
Au 0.6930 0.1670 0.6930

Values from the calculation:
Its calculated volume is 24.1 A^3/atom. The calculation puts the final energy at -3.6002 eV/atom. The spin magnetization comes out at 0.00 Bohr magnetons per cell. The space group is R-3m, No. 166.

No. 3
# Ca2NiGeAu

An optimized crystal structure of Ca2NiGeAu (PBE-GGA, Alexandria).

Cell: 5.1278 4.7932 5.1278 Å, 90.00 90.00 90.00°
Sites, in units of the cell vectors:
Ni 0.0000 0.0000 0.0000
Ge 0.5000 0.5000 0.5000
Au 0.0000 0.5000 0.0000
Ca 0.0000 0.0000 0.5000
Ca 0.5000 0.0000 0.0000

Values from the calculation:
Its calculated volume is 25.2 A^3/atom. The calculation puts the final energy at -3.5599 eV/atom. The spin magnetization comes out at 0.00 Bohr magnetons per cell. The space group is P4/mmm, No. 123.

No. 4
# Ca2NiGeAu6

An optimized crystal structure of Ca2NiGeAu6 (PBE-GGA, Alexandria).

Cell: 6.7522 7.0004 6.7606 Å, 78.20 48.78 97.14°
Sites, in units of the cell vectors:
Ca 0.7316 0.2059 0.5271
Ca 0.2684 0.7941 0.4729
Ni 0.0000 0.0000 0.0000
Ge 0.5000 0.5000 0.0000
Au 0.2286 0.2316 0.5029
Au 0.7575 0.6187 0.1368
Au 0.2656 0.7683 0.0030
Au 0.7344 0.2317 0.9970
Au 0.2425 0.3813 0.8632
Au 0.7714 0.7684 0.4971

Values from the calculation:
Its calculated volume is 22.0 A^3/atom. The calculation puts the final energy at -3.7574 eV/atom. The spin magnetization comes out at 0.00 Bohr magnetons per cell. The space group is P-1, No. 2.

No. 5
# Ca2NpGe3Au12

An optimized crystal structure of Ca2NpGe3Au12 (PBE-GGA, Alexandria).

Cell: 7.9252 7.9252 7.9252 Å, 71.04 71.04 71.04°
Site moments in Bohr magnetons follow the coordinates.
Sites, in units of the cell vectors:
Ca 0.5947 0.5947 0.5947  0.01
Ca 0.4053 0.4053 0.4053  0.01
Np 0.0000 0.0000 0.0000  4.02
Ge 0.5000 0.0000 0.0000  0.00
Ge 0.0000 0.5000 0.0000  0.00
Ge 0.0000 0.0000 0.5000  0.00
Au 0.3058 0.3058 0.8322  0.01
Au 0.8378 0.8378 0.3902  0.01
Au 0.3902 0.8378 0.8378  0.01
Au 0.8322 0.3058 0.3058  0.01
Au 0.8378 0.3902 0.8378  0.01
Au 0.3058 0.8322 0.3058  0.01
Au 0.6942 0.6942 0.1678  0.01
Au 0.1622 0.1622 0.6098  0.01
Au 0.6098 0.1622 0.1622  0.01
Au 0.1678 0.6942 0.6942  0.01
Au 0.1622 0.6098 0.1622  0.01
Au 0.6942 0.1678 0.6942  0.01

Values from the calculation:
Its calculated volume is 24.0 A^3/atom. The calculation puts the final energy at -3.9370 eV/atom. The spin magnetization comes out at 4.43 Bohr magnetons per cell. The space group is R-3m, No. 166.

No. 6
# CaPaGeAu

An optimized crystal structure of CaPaGeAu (PBE-GGA, Alexandria).

Cell: 5.1110 5.1110 5.1110 Å, 60.00 60.00 60.00°
Site moments in Bohr magnetons follow the coordinates.
Sites, in units of the cell vectors:
Ge 0.2500 0.2500 0.2500  0.00
Pa 0.5000 0.5000 0.5000  0.92
Au 0.7500 0.7500 0.7500  0.02
Ca 0.0000 0.0000 0.0000  0.01

Values from the calculation:
Its calculated volume is 23.6 A^3/atom. The calculation puts the final energy at -5.2299 eV/atom. The spin magnetization comes out at 1.15 Bohr magnetons per cell. The space group is F-43m, No. 216.

No. 7
# Ca2GePbAu

An optimized crystal structure of Ca2GePbAu (PBE-GGA, Alexandria).

Cell: 5.9434 5.9434 5.8208 Å, 90.00 90.00 90.00°
Sites, in units of the cell vectors:
Pb 0.0000 0.0000 0.5000
Ge 0.5000 0.5000 0.5000
Au 0.0000 0.0000 0.0000
Ca 0.0000 0.5000 0.0000
Ca 0.5000 0.0000 0.0000

Values from the calculation:
Its calculated volume is 41.1 A^3/atom. The calculation puts the final energy at -3.0517 eV/atom. The spin magnetization comes out at 0.00 Bohr magnetons per cell. The space group is P4/mmm, No. 123.

No. 8
# CaGe3Pb2Au12

An optimized crystal structure of CaGe3Pb2Au12 (PBE-GGA, Alexandria).

Cell: 7.7962 7.7962 7.7962 Å, 73.57 73.57 73.57°
Sites, in units of the cell vectors:
Ca 0.0000 0.0000 0.0000
Ge 0.5000 0.0000 0.0000
Ge 0.0000 0.5000 0.0000
Ge 0.0000 0.0000 0.5000
Pb 0.5966 0.5966 0.5966
Pb 0.4034 0.4034 0.4034
Au 0.3055 0.3055 0.8395
Au 0.8367 0.8367 0.3804
Au 0.3804 0.8367 0.8367
Au 0.8395 0.3055 0.3055
Au 0.8367 0.3804 0.8367
Au 0.3055 0.8395 0.3055
Au 0.6945 0.6945 0.1605
Au 0.1633 0.1633 0.6196
Au 0.6196 0.1633 0.1633
Au 0.1605 0.6945 0.6945
Au 0.1633 0.6196 0.1633
Au 0.6945 0.1605 0.6945

Values from the calculation:
Its calculated volume is 23.6 A^3/atom. The calculation puts the final energy at -3.4727 eV/atom. The spin magnetization comes out at 0.00 Bohr magnetons per cell. The space group is R-3m, No. 166.